(1)
Density functional theory data (PBE) for a relaxed NaAgTeMoS2 crystal.

Calculated values
* total magnetization: 2.101 μB per formula unit
* calculated total energy: -4.708 eV/atom
* theoretical density: 5.042 Mg/m³

Lattice parameters (Å, degrees): 7.4313 7.4313 10.3463 90.00 90.00 151.15
Closest atoms and distances in Å follow each position.
Atoms (fractional coordinates):
Na: 0.2166 0.7834 0.7500  2 Ag 3.08, 2 Te 3.22, 4 S 3.23
Na: 0.7834 0.2166 0.2500  2 Ag 3.08, 2 Te 3.22, 4 S 3.23
Ag: 0.4546 0.5454 0.2500  2 S 2.42
Ag: 0.5454 0.4546 0.7500  2 S 2.42
Te: 0.1003 0.8997 0.2500  2 Ag 2.80, 2 Mo 2.96
Te: 0.8997 0.1003 0.7500  2 Ag 2.80, 2 Mo 2.96
Mo: 0.0000 0.0000 0.0000  4 S 2.51
Mo: 0.0000 0.0000 0.5000  4 S 2.51
S: 0.3850 0.6150 0.0370  1 Ag 2.42, 2 Mo 2.51
S: 0.3850 0.6150 0.4630  1 Ag 2.42, 2 Mo 2.51
S: 0.6150 0.3850 0.5370  1 Ag 2.42, 2 Mo 2.51
S: 0.6150 0.3850 0.9630  1 Ag 2.42, 2 Mo 2.51

---

(2)
Density functional theory data (PBE) for a relaxed NaAg3MoSe4 crystal.

Calculated values
* total magnetization: 1.998 μB per formula unit
* calculated total energy: -4.111 eV/atom
* theoretical density: 5.010 Mg/m³

Lattice parameters (Å, degrees): 6.3112 6.3112 6.3112 90.00 90.00 90.00
Closest atoms and distances in Å follow each position.
Atoms (fractional coordinates):
Na: 0.0000 0.0000 0.0000  4 Se 2.98
Ag: 0.0000 0.5000 0.5000  4 Se 2.66
Ag: 0.5000 0.0000 0.5000  4 Se 2.66
Ag: 0.5000 0.5000 0.0000  4 Se 2.66
Mo: 0.5000 0.5000 0.5000  4 Se 2.49
Se: 0.2725 0.2725 0.2725  1 Mo 2.49, 3 Ag 2.66
Se: 0.2725 0.7275 0.7275  1 Mo 2.49, 3 Ag 2.66
Se: 0.7275 0.2725 0.7275  1 Mo 2.49, 3 Ag 2.66
Se: 0.7275 0.7275 0.2725  1 Mo 2.49, 3 Ag 2.66

---

(3)
Density functional theory data (PBE) for a relaxed NaAgTeMoSe2 crystal.

Calculated values
* total magnetization: 1.769 μB per formula unit
* calculated total energy: -4.458 eV/atom
* theoretical density: 6.113 Mg/m³

Lattice parameters (Å, degrees): 7.5605 7.5605 10.4774 90.00 90.00 152.30
Closest atoms and distances in Å follow each position.
Atoms (fractional coordinates):
Na: 0.2281 0.7719 0.7500  2 Ag 3.11, 2 Te 3.23, 4 Se 3.27
Na: 0.7719 0.2281 0.2500  2 Ag 3.11, 2 Te 3.23, 4 Se 3.27
Ag: 0.4441 0.5559 0.2500  2 Se 2.54, 2 Te 2.80
Ag: 0.5559 0.4441 0.7500  2 Se 2.54, 2 Te 2.80
Te: 0.0896 0.9104 0.2500  2 Ag 2.80, 2 Mo 2.93
Te: 0.9104 0.0896 0.7500  2 Ag 2.80, 2 Mo 2.93
Mo: 0.0000 0.0000 0.0000  4 Se 2.64, 2 Te 2.93
Mo: 0.0000 0.0000 0.5000  4 Se 2.64, 2 Te 2.93
Se: 0.3712 0.6288 0.0298  1 Ag 2.54, 2 Mo 2.64
Se: 0.3712 0.6288 0.4702  1 Ag 2.54, 2 Mo 2.64
Se: 0.6288 0.3712 0.5298  1 Ag 2.54, 2 Mo 2.64
Se: 0.6288 0.3712 0.9702  1 Ag 2.54, 2 Mo 2.64

---

(4)
Density functional theory data (PBE) for a relaxed NaAgTe2MoSe crystal.

Calculated values
* total magnetization: 2.037 μB per formula unit
* calculated total energy: -4.314 eV/atom
* theoretical density: 6.320 Mg/m³

Lattice parameters (Å, degrees): 7.4498 7.4498 10.4369 90.00 90.00 149.41
Closest atoms and distances in Å follow each position.
Atoms (fractional coordinates):
Na: 0.2472 0.7528 0.7500  2 Se 3.27, 6 Te 3.27-3.45, 2 Ag 3.43
Na: 0.7528 0.2472 0.2500  2 Se 3.27, 6 Te 3.27-3.45, 2 Ag 3.43
Ag: 0.4486 0.5514 0.2500  2 Se 2.64, 2 Te 2.70
Ag: 0.5514 0.4486 0.7500  2 Se 2.64, 2 Te 2.70
Te: 0.3599 0.6401 0.0222  1 Ag 2.70, 2 Mo 2.82
Te: 0.3599 0.6401 0.4778  1 Ag 2.70, 2 Mo 2.82
Te: 0.6401 0.3599 0.5222  1 Ag 2.70, 2 Mo 2.82
Te: 0.6401 0.3599 0.9778  1 Ag 2.70, 2 Mo 2.82
Mo: 0.0000 0.0000 0.0000  2 Se 2.80, 4 Te 2.82
Mo: 0.0000 0.0000 0.5000  2 Se 2.80, 4 Te 2.82
Se: 0.0710 0.9290 0.2500  2 Ag 2.64, 2 Mo 2.80
Se: 0.9290 0.0710 0.7500  2 Ag 2.64, 2 Mo 2.80

---

(5)
Density functional theory data (PBE) for a relaxed NaAgTe3Mo crystal.

Calculated values
* total magnetization: 2.140 μB per formula unit
* calculated total energy: -4.224 eV/atom
* theoretical density: 6.466 Mg/m³

Lattice parameters (Å, degrees): 7.5593 7.5593 10.7803 90.00 90.00 149.45
Closest atoms and distances in Å follow each position.
Atoms (fractional coordinates):
Na: 0.2314 0.7686 0.7500  2 Ag 3.30, 8 Te 3.36-3.55
Na: 0.7686 0.2314 0.2500  2 Ag 3.30, 8 Te 3.36-3.55
Ag: 0.4492 0.5508 0.2500  4 Te 2.71-2.79
Ag: 0.5508 0.4492 0.7500  4 Te 2.71-2.79
Te: 0.0831 0.9169 0.2500  2 Ag 2.79, 2 Mo 2.95
Te: 0.3638 0.6362 0.0267  1 Ag 2.71, 2 Mo 2.83
Te: 0.3638 0.6362 0.4733  1 Ag 2.71, 2 Mo 2.83
Te: 0.6362 0.3638 0.5267  1 Ag 2.71, 2 Mo 2.83
Te: 0.6362 0.3638 0.9733  1 Ag 2.71, 2 Mo 2.83
Te: 0.9169 0.0831 0.7500  2 Ag 2.79, 2 Mo 2.95
Mo: 0.0000 0.0000 0.0000  6 Te 2.83-2.95
Mo: 0.0000 0.0000 0.5000  6 Te 2.83-2.95

---

(6)
Density functional theory data (PBE) for a relaxed NbAgMo2 crystal.

Calculated values
* calculated formation energy: 416 meV/atom
* total magnetization: 0.013 μB per formula unit
* theoretical density: 9.692 Mg/m³

Lattice parameters (Å, degrees): 4.5651 4.5651 4.5651 60.00 60.00 60.00
Closest atoms and distances in Å follow each position.
Atoms (fractional coordinates):
Nb: 0.0000 0.0000 0.0000  4 Mo 2.80, 4 Ag 2.80
Ag: 0.2500 0.2500 0.2500  4 Nb 2.80, 4 Mo 2.80
Mo: 0.5000 0.5000 0.5000  4 Mo 2.80, 4 Ag 2.80
Mo: 0.7500 0.7500 0.7500  4 Nb 2.80, 4 Mo 2.80

---

(7)
Density functional theory data (PBE) for a relaxed NbAg2Mo crystal.

Calculated values
* calculated formation energy: 598 meV/atom
* total magnetization: 0.126 μB per formula unit
* theoretical density: 9.702 Mg/m³

Lattice parameters (Å, degrees): 4.6093 4.6093 4.6093 60.00 60.00 60.00
Closest atoms and distances in Å follow each position.
Atoms (fractional coordinates):
Nb: 0.0000 0.0000 0.0000  4 Mo 2.82, 4 Ag 2.82
Ag: 0.5000 0.5000 0.5000  4 Mo 2.82, 4 Ag 2.82
Ag: 0.7500 0.7500 0.7500  4 Nb 2.82, 4 Ag 2.82
Mo: 0.2500 0.2500 0.2500  4 Nb 2.82, 4 Ag 2.82

---

(8)
Density functional theory data (PBE) for a relaxed Nb2AgMo crystal.

Calculated values
* calculated formation energy: 394 meV/atom
* total magnetization: 0.048 μB per formula unit
* theoretical density: 9.296 Mg/m³

Lattice parameters (Å, degrees): 4.6170 4.6170 4.6170 60.00 60.00 60.00
Closest atoms and distances in Å follow each position.
Atoms (fractional coordinates):
Nb: 0.0000 0.0000 0.0000  4 Nb 2.83, 4 Ag 2.83
Nb: 0.2500 0.2500 0.2500  4 Nb 2.83, 4 Mo 2.83
Ag: 0.7500 0.7500 0.7500  4 Mo 2.83, 4 Nb 2.83
Mo: 0.5000 0.5000 0.5000  4 Nb 2.83, 4 Ag 2.83

---

(9)
Density functional theory data (PBE) for a relaxed NiAg2Mo crystal.

Calculated values
* calculated formation energy: 547 meV/atom
* total magnetization: 0.002 μB per formula unit
* theoretical density: 9.957 Mg/m³

Lattice parameters (Å, degrees): 4.4370 4.4370 4.4370 60.00 60.00 60.00
Closest atoms and distances in Å follow each position.
Atoms (fractional coordinates):
Ni: 0.0000 0.0000 0.0000  4 Mo 2.72, 4 Ag 2.72
Ag: 0.2500 0.2500 0.2500  4 Ag 2.72, 4 Ni 2.72
Ag: 0.5000 0.5000 0.5000  4 Mo 2.72, 4 Ag 2.72
Mo: 0.7500 0.7500 0.7500  4 Ag 2.72, 4 Ni 2.72

---

(10)
Density functional theory data (PBE) for a relaxed NiAgSbMo crystal.

Calculated values
* total magnetization: 0.338 μB per formula unit
* calculated total energy: -5.502 eV/atom
* theoretical density: 9.740 Mg/m³

Lattice parameters (Å, degrees): 4.5250 4.5250 4.5250 60.00 60.00 60.00
Closest atoms and distances in Å follow each position.
Atoms (fractional coordinates):
Ni: 0.0000 0.0000 0.0000  4 Sb 2.77, 4 Ag 2.77
Ag: 0.2500 0.2500 0.2500  4 Mo 2.77, 4 Ni 2.77
Sb: 0.7500 0.7500 0.7500  4 Ni 2.77, 4 Mo 2.77
Mo: 0.5000 0.5000 0.5000  4 Sb 2.77, 4 Ag 2.77

---

(11)
Density functional theory data (PBE) for a relaxed NiAgSnMo crystal.

Calculated values
* total magnetization: 1.487 μB per formula unit
* calculated total energy: -5.444 eV/atom
* theoretical density: 9.578 Mg/m³

Lattice parameters (Å, degrees): 4.5382 4.5382 4.5382 60.00 60.00 60.00
Closest atoms and distances in Å follow each position.
Atoms (fractional coordinates):
Ni: 0.0000 0.0000 0.0000  4 Sn 2.78, 4 Ag 2.78
Ag: 0.2500 0.2500 0.2500  4 Mo 2.78, 4 Ni 2.78
Sn: 0.7500 0.7500 0.7500  4 Mo 2.78, 4 Ni 2.78
Mo: 0.5000 0.5000 0.5000  4 Sn 2.78, 4 Ag 2.78

---

(12)
Density functional theory data (PBE) for a relaxed ZnNiAgMo crystal.

Calculated values
* calculated formation energy: 464 meV/atom
* total magnetization: 0.701 μB per formula unit
* theoretical density: 9.310 Mg/m³

Lattice parameters (Å, degrees): 4.3570 4.3570 4.3570 60.00 60.00 60.00
Closest atoms and distances in Å follow each position.
Atoms (fractional coordinates):
Zn: 0.0000 0.0000 0.0000  4 Mo 2.67, 4 Ni 2.67
Ni: 0.2500 0.2500 0.2500  4 Ag 2.67, 4 Zn 2.67
Ag: 0.5000 0.5000 0.5000  4 Mo 2.67, 4 Ni 2.67
Mo: 0.7500 0.7500 0.7500  4 Ag 2.67, 4 Zn 2.67

---

(13)
Density functional theory data (PBE) for a relaxed NpAgMo crystal.

Calculated values
* calculated formation energy: 1014 meV/atom
* total magnetization: 2.392 μB per formula unit
* theoretical density: 11.306 Mg/m³

Lattice parameters (Å, degrees): 4.5072 4.5072 4.5072 60.00 60.00 60.00
Closest atoms and distances in Å follow each position.
Atoms (fractional coordinates):
Np: 0.0000 0.0000 0.0000  4 Mo 2.76
Ag: 0.5000 0.5000 0.5000  4 Mo 2.76
Mo: 0.7500 0.7500 0.7500  4 Np 2.76, 4 Ag 2.76